The following is a PBE calculation of an optimized crystal structure of Pm2GeSb3Pd4, from Alexandria via LeMat-Bulk.

Calculated values
E_form (uncorrected) = -0.81 eV/atom
DOS at the Fermi energy = 0.520 states/eV/atom
Symmetry = P-4m2
Size of the total moment = 0.000 μB per atom

```
10
Lattice="-1.326 -2.736 3.270 4.184 -1.494 0.447 2.008 7.822 7.359" Properties=species:S:1:pos:R:3 pbc="T T T"
Pm -0.166 0.569 3.458
Pm 3.603 5.137 5.759
Ge 2.433 1.796 5.538
Sb 1.004 3.911 3.680
Sb 1.072 5.392 7.996
Sb 2.365 0.314 1.222
Pd 1.429 -2.115 1.859
Pd 0.000 0.000 0.000
Pd 0.598 3.544 6.256
Pd 2.839 2.163 2.961
```

---

The following is a PBE calculation of an optimized crystal structure of Pm2SiGePd6, from Alexandria via LeMat-Bulk.

Calculated values
E_form (uncorrected) = -0.75 eV/atom
DOS at the Fermi energy = 0.556 states/eV/atom
Symmetry = Pmmn
Size of the total moment = 0.000 μB per atom

```
20
Lattice="5.566 0.000 0.000 0.000 8.163 0.000 0.000 0.000 8.697" Properties=species:S:1:pos:R:3 pbc="T T T"
Pm 2.783 5.989 2.203
Pm 0.000 2.174 6.551
Pm 2.783 5.989 6.494
Pm 0.000 2.174 2.146
Si 2.783 2.019 4.348
Si 0.000 6.144 0.000
Ge 0.000 5.990 4.348
Ge 2.783 2.173 0.000
Pd 2.783 0.937 2.183
Pd 2.783 0.937 6.514
Pd 0.000 7.226 2.166
Pd 0.000 7.226 6.531
Pd 1.389 8.162 4.348
Pd 4.177 8.162 4.348
Pd 1.402 3.958 4.348
Pd 4.164 3.958 4.348
Pd 4.185 4.205 0.000
Pd 1.381 4.205 0.000
Pd 1.394 0.001 0.000
Pd 4.172 0.001 0.000
```

---

The following is a PBE calculation of an optimized crystal structure of Pm2SiGe3Pd4, from Alexandria via LeMat-Bulk.

Calculated values
E_form (uncorrected) = -0.83 eV/atom
DOS at the Fermi energy = 0.581 states/eV/atom
Symmetry = P-4m2
Size of the total moment = 0.000 μB per atom

```
10
Lattice="-1.288 -0.637 -4.079 4.121 0.065 -1.311 0.592 -9.954 1.368" Properties=species:S:1:pos:R:3 pbc="T T T"
Pm -0.493 -2.856 -1.691
Pm 2.502 -7.385 0.364
Si 1.713 -5.263 -2.011
Ge 0.296 -4.977 0.684
Ge -0.130 -8.953 -0.853
Ge 2.139 -1.287 -0.474
Pd 1.417 -0.286 -2.695
Pd 0.000 0.000 0.000
Pd -0.276 -6.497 -1.191
Pd 2.285 -3.743 -0.137
```